(A)
An optimized crystal structure of MgBiPCl2. Source: Alexandria via LeMat-Bulk, functional PBE.

Cell lengths 5.328, 5.328, 5.515 Å; angles 90.00, 90.00, 90.00 degrees
Positions (direct):
P1 0.000 0.000 0.500
Mg1 0.500 0.500 0.500
Bi1 0.000 0.000 0.000
Cl1 0.000 0.500 0.000
Cl2 0.500 0.000 0.000

Values from the calculation:
Its space group is P4/mmm (123). The value obtained for the density of states at the Fermi level is 1.0 states/eV/cell. The value obtained for the total magnetization is 0.00 μB per formula unit.



(B)
An optimized crystal structure of MgBiPCl2. Source: Alexandria via LeMat-Bulk, functional PBE.

Cell lengths 4.623, 4.623, 5.649 Å; angles 90.00, 90.00, 90.00 degrees
Positions (direct):
P1 0.000 0.000 0.500
Mg1 0.000 0.000 0.000
Bi1 0.500 0.500 0.500
Cl1 0.000 0.500 0.000
Cl2 0.500 0.000 0.000

Values from the calculation:
Its space group is P4/mmm (123). The value obtained for the density of states at the Fermi level is 2.1 states/eV/cell. The value obtained for the total magnetization is 0.00 μB per formula unit.



List of relative energies, unit meV per atom: (A) 414; (B) 0



(A)
An optimized crystal structure of MgBiPb2Cl. Source: Alexandria via LeMat-Bulk, functional PBE.

Cell lengths 5.558, 5.573, 5.558 Å; angles 90.00, 90.00, 90.00 degrees
Positions (direct):
Pb1 0.000 0.000 0.500
Pb2 0.500 0.000 0.000
Mg1 0.500 0.500 0.500
Bi1 0.000 0.500 0.000
Cl1 0.000 0.000 0.000

Values from the calculation:
Its space group is P4/mmm (123). The value obtained for the density of states at the Fermi level is 4.5 states/eV/cell. The value obtained for the total magnetization is 0.00 μB per formula unit.



(B)
An optimized crystal structure of MgBiPb2Cl. Source: Alexandria via LeMat-Bulk, functional PBE.

Cell lengths 6.188, 5.363, 6.188 Å; angles 90.00, 90.00, 90.00 degrees
Positions (direct):
Pb1 0.000 0.000 0.500
Pb2 0.500 0.000 0.000
Mg1 0.500 0.500 0.500
Bi1 0.000 0.000 0.000
Cl1 0.000 0.500 0.000

Values from the calculation:
Its space group is P4/mmm (123). The value obtained for the density of states at the Fermi level is 5.2 states/eV/cell. The value obtained for the total magnetization is 0.00 μB per formula unit.



List of relative energies, unit meV per atom: (A) 13; (B) 0



(A)
An optimized crystal structure of MnBiCl2. Source: Alexandria via LeMat-Bulk, functional PBE.

Cell lengths 13.029, 13.029, 13.029 Å; angles 15.49, 15.49, 15.49 degrees
Last column: magnetic moment on the atom in μB.
Positions (direct):
Mn1 0.500 0.500 0.500  4.41
Bi1 0.000 0.000 0.000  -0.01
Cl1 0.872 0.872 0.872  0.11
Cl2 0.128 0.128 0.128  0.11

Values from the calculation:
Its space group is R-3m (166). The value obtained for the density of states at the Fermi level is 1.5 states/eV/cell. The value obtained for the total magnetization is 4.97 μB per formula unit.



(B)
An optimized crystal structure of MnBiCl2. Source: Alexandria via LeMat-Bulk, functional PBE.

Cell lengths 5.064, 5.064, 5.064 Å; angles 60.00, 60.00, 60.00 degrees
Last column: magnetic moment on the atom in μB.
Positions (direct):
Mn1 0.000 0.000 0.000  4.16
Bi1 0.500 0.500 0.500  -0.39
Cl1 0.250 0.250 0.250  0.01
Cl2 0.750 0.750 0.750  0.01

Values from the calculation:
Its space group is Fm-3m (225). The value obtained for the density of states at the Fermi level is 3.2 states/eV/cell. The value obtained for the total magnetization is 3.95 μB per formula unit.



(C)
An optimized crystal structure of MnBiCl2. Source: Alexandria via LeMat-Bulk, functional PBE.

Cell lengths 9.777, 9.777, 9.777 Å; angles 20.71, 20.71, 20.71 degrees
Last column: magnetic moment on the atom in μB.
Positions (direct):
Mn1 0.000 0.000 0.000  3.90
Bi1 0.500 0.500 0.500  0.02
Cl1 0.922 0.922 0.922  0.01
Cl2 0.078 0.078 0.078  0.01

Values from the calculation:
Its space group is R-3m (166). The value obtained for the density of states at the Fermi level is 1.5 states/eV/cell. The value obtained for the total magnetization is 4.22 μB per formula unit.



List of relative energies, unit meV per atom: (A) 0; (B) 764; (C) 382



(A)
An optimized crystal structure of Mn2BiCl8. Source: Alexandria via LeMat-Bulk, functional PBE.

Cell lengths 6.622, 7.976, 7.976 Å; angles 64.43, 81.17, 81.17 degrees
Last column: magnetic moment on the atom in μB.
Positions (direct):
Mn1 0.652 0.816 0.816  3.96
Mn2 0.348 0.184 0.184  3.96
Bi1 0.000 0.000 0.000  0.04
Cl1 0.222 0.300 0.889  0.04
Cl2 0.778 0.111 0.700  0.04
Cl3 0.298 0.829 0.829  0.02
Cl4 0.702 0.171 0.171  0.02
Cl5 0.222 0.889 0.300  0.04
Cl6 0.778 0.700 0.111  0.04
Cl7 0.753 0.653 0.653  0.04
Cl8 0.247 0.347 0.347  0.04

Values from the calculation:
Its space group is C2/m (12). The value obtained for the density of states at the Fermi level is 9.9 states/eV/cell. The value obtained for the total magnetization is 9.00 μB per formula unit.



(B)
An optimized crystal structure of Mn2BiCl8. Source: Alexandria via LeMat-Bulk, functional PBE.

Cell lengths 3.901, 9.793, 10.460 Å; angles 87.71, 119.29, 82.65 degrees
Last column: magnetic moment on the atom in μB.
Positions (direct):
Mn1 0.101 0.595 0.326  4.05
Mn2 0.899 0.405 0.674  4.05
Bi1 0.500 0.000 0.000  0.02
Cl1 0.450 0.548 0.183  0.07
Cl2 0.086 0.162 0.730  0.01
Cl3 0.304 0.366 0.458  0.03
Cl4 0.901 0.846 0.887  0.00
Cl5 0.696 0.634 0.542  0.03
Cl6 0.914 0.838 0.270  0.01
Cl7 0.550 0.452 0.817  0.07
Cl8 0.099 0.154 0.113  0.00

Values from the calculation:
Its space group is P-1 (2). The value obtained for the density of states at the Fermi level is 4.3 states/eV/cell. The value obtained for the total magnetization is 9.00 μB per formula unit.



List of relative energies, unit meV per atom: (A) 57; (B) 0



(A)
An optimized crystal structure of MnBiP2Cl. Source: Alexandria via LeMat-Bulk, functional PBE.

Cell lengths 5.298, 5.298, 5.268 Å; angles 90.00, 90.00, 90.00 degrees
Last column: magnetic moment on the atom in μB.
Positions (direct):
P1 0.000 0.500 0.000  -0.18
P2 0.500 0.000 0.000  -0.18
Mn1 0.500 0.500 0.500  4.55
Bi1 0.000 0.000 0.000  0.01
Cl1 0.000 0.000 0.500  0.01

Values from the calculation:
Its space group is P4/mmm (123). The value obtained for the density of states at the Fermi level is 3.8 states/eV/cell. The value obtained for the total magnetization is 4.26 μB per formula unit.



(B)
An optimized crystal structure of MnBiP2Cl. Source: Alexandria via LeMat-Bulk, functional PBE.

Cell lengths 4.408, 4.408, 5.006 Å; angles 90.00, 90.00, 90.00 degrees
Positions (direct):
P1 0.000 0.500 0.000
P2 0.500 0.000 0.000
Mn1 0.000 0.000 0.000
Bi1 0.500 0.500 0.500
Cl1 0.000 0.000 0.500

Values from the calculation:
Its space group is P4/mmm (123). The value obtained for the density of states at the Fermi level is 5.2 states/eV/cell. The value obtained for the total magnetization is 0.00 μB per formula unit.



List of relative energies, unit meV per atom: (A) 708; (B) 0



(A)
An optimized crystal structure of BiMo2Cl. Source: Alexandria via LeMat-Bulk, functional PBE.

Cell lengths 4.698, 4.698, 4.698 Å; angles 60.00, 60.00, 60.00 degrees
Positions (direct):
Mo1 0.250 0.250 0.250
Mo2 0.750 0.750 0.750
Bi1 0.500 0.500 0.500
Cl1 0.000 0.000 0.000

Values from the calculation:
Its space group is Fm-3m (225). The value obtained for the density of states at the Fermi level is 4.9 states/eV/cell. The value obtained for the total magnetization is 0.00 μB per formula unit.



(B)
An optimized crystal structure of BiMo2Cl. Source: Alexandria via LeMat-Bulk, functional PBE.

Cell lengths 6.239, 6.239, 6.553 Å; angles 61.57, 61.57, 90.00 degrees
Last column: magnetic moment on the atom in μB.
Positions (direct):
Mo1 0.558 0.125 0.250  0.64
Mo2 0.192 0.625 0.250  0.66
Mo3 0.375 0.442 0.750  0.64
Mo4 0.875 0.808 0.750  0.66
Bi1 0.000 0.000 0.000  -0.03
Bi2 0.750 0.250 0.500  -0.03
Cl1 0.500 0.500 0.000  -0.01
Cl2 0.250 0.750 0.500  -0.01

Values from the calculation:
Its space group is I-42d (122). The value obtained for the density of states at the Fermi level is 9.0 states/eV/cell. The value obtained for the total magnetization is 1.44 μB per formula unit.



List of relative energies, unit meV per atom: (A) 0; (B) 261



(A)
An optimized crystal structure of Bi2MoCl. Source: Alexandria via LeMat-Bulk, functional PBE.

Cell lengths 6.606, 6.606, 8.117 Å; angles 65.99, 65.99, 90.00 degrees
Positions (direct):
Mo1 0.000 0.000 0.000
Mo2 0.750 0.250 0.500
Bi1 0.687 0.125 0.250
Bi2 0.063 0.625 0.250
Bi3 0.375 0.313 0.750
Bi4 0.875 0.937 0.750
Cl1 0.500 0.500 0.000
Cl2 0.250 0.750 0.500

Values from the calculation:
Its space group is I-42d (122). The value obtained for the density of states at the Fermi level is 9.6 states/eV/cell. The value obtained for the total magnetization is 0.00 μB per formula unit.



(B)
An optimized crystal structure of Bi2MoCl. Source: Alexandria via LeMat-Bulk, functional PBE.

Cell lengths 5.155, 5.155, 5.155 Å; angles 60.00, 60.00, 60.00 degrees
Last column: magnetic moment on the atom in μB.
Positions (direct):
Mo1 0.500 0.500 0.500  2.35
Bi1 0.250 0.250 0.250  -0.07
Bi2 0.750 0.750 0.750  -0.07
Cl1 0.000 0.000 0.000  0.05

Values from the calculation:
Its space group is Fm-3m (225). The value obtained for the density of states at the Fermi level is 2.9 states/eV/cell. The value obtained for the total magnetization is 2.72 μB per formula unit.



List of relative energies, unit meV per atom: (A) 20; (B) 0



(A)
An optimized crystal structure of BiMo2Cl2. Source: Alexandria via LeMat-Bulk, functional PBE.

Cell lengths 7.174, 7.174, 4.443 Å; angles 90.00, 90.00, 90.00 degrees
Positions (direct):
Mo1 0.394 0.894 0.000
Mo2 0.894 0.606 0.000
Mo3 0.606 0.106 0.000
Mo4 0.106 0.394 0.000
Bi1 0.000 0.000 0.000
Bi2 0.500 0.500 0.000
Cl1 0.147 0.647 0.500
Cl2 0.647 0.853 0.500
Cl3 0.853 0.353 0.500
Cl4 0.353 0.147 0.500

Values from the calculation:
Its space group is P4/mbm (127). The value obtained for the density of states at the Fermi level is 12.4 states/eV/cell. The value obtained for the total magnetization is 0.00 μB per formula unit.



(B)
An optimized crystal structure of BiMo2Cl2. Source: Alexandria via LeMat-Bulk, functional PBE.

Cell lengths 4.297, 4.297, 6.445 Å; angles 70.53, 70.53, 90.00 degrees
Last column: magnetic moment on the atom in μB.
Positions (direct):
Mo1 0.402 0.402 0.197  0.52
Mo2 0.598 0.598 0.803  0.52
Bi1 0.000 0.000 0.000  -0.08
Cl1 0.750 0.250 0.500  0.01
Cl2 0.250 0.750 0.500  0.01

Values from the calculation:
Its space group is I4/mmm (139). The value obtained for the density of states at the Fermi level is 3.6 states/eV/cell. The value obtained for the total magnetization is 1.15 μB per formula unit.



List of relative energies, unit meV per atom: (A) 275; (B) 0